(1)
## NaCaTcIr2 (SCAN)

Data for NaCaTcIr2 at its PBEsol-relaxed geometry.

final energy: -187.98 eV per cell
energy relative to the elements: 3.161 eV per formula unit
magnetic moment: 0.0 Bohr magnetons per cell

abc: 4.6721 4.6721 5.0140
angles: 90.00 90.00 90.00
Last column: nearest neighbours and their distance in Å.
Space group P4/mmm (No. 123)
Asymmetric unit:
Na 0.0000 0.0000 0.0000 [1 per cell]  2 Tc 2.51
Ca 0.5000 0.5000 0.0000 [1 per cell]  4 Na 3.30, 8 Ir 3.43
Tc 0.0000 0.0000 0.5000 [1 per cell]  4 Ir 2.34, 2 Na 2.51
Ir 0.0000 0.5000 0.5000 [2 per cell]  2 Tc 2.34

***

(2)
## CaNbRe2Ir (SCAN)

Data for CaNbRe2Ir at its PBEsol-relaxed geometry.

final energy: -242.12 eV per cell
energy relative to the elements: 13.962 eV per formula unit
magnetic moment: 0.0 Bohr magnetons per cell

abc: 4.4980 4.4980 4.5489
angles: 90.00 90.00 90.00
Last column: nearest neighbours and their distance in Å.
Space group P4/mmm (No. 123)
Asymmetric unit:
Ca 0.0000 0.0000 0.0000 [1 per cell]  4 Re 2.25, 2 Ir 2.27
Nb 0.5000 0.5000 0.5000 [1 per cell]  4 Ir 3.18, 8 Re 3.20
Re 0.0000 0.5000 0.0000 [2 per cell]  2 Ca 2.25
Ir 0.0000 0.0000 0.5000 [1 per cell]  2 Ca 2.27

***

(3)
## Ca2YNbIr (SCAN)

Data for Ca2YNbIr at its PBEsol-relaxed geometry.

final energy: -150.44 eV per cell
energy relative to the elements: 0.959 eV per formula unit
magnetic moment: 1.5 Bohr magnetons per cell

abc: 5.3656 5.3656 4.9240
angles: 90.00 90.00 90.00
Last column: nearest neighbours and their distance in Å.
Space group P4/mmm (No. 123)
Asymmetric unit:
Ca 0.0000 0.5000 0.0000 [2 per cell]  2 Ir 2.68
Y 0.0000 0.0000 0.5000 [1 per cell]  8 Ca 3.64, 4 Nb 3.79
Nb 0.5000 0.5000 0.5000 [1 per cell]  2 Ir 2.46
Ir 0.5000 0.5000 0.0000 [1 per cell]  2 Nb 2.46, 4 Ca 2.68

***

(4)
## CaNiIr (SCAN)

Data for CaNiIr at its PBEsol-relaxed geometry.

final energy: -384.15 eV per cell
energy relative to the elements: 0.899 eV per formula unit
magnetic moment: 5.0 Bohr magnetons per cell

abc: 6.0160 6.0160 6.0160
angles: 90.00 90.00 90.00
Last column: nearest neighbours and their distance in Å.
Space group F-43m (No. 216)
Asymmetric unit:
Ca 0.0000 0.0000 0.0000 [4 per cell]  4 Ni 2.60
Ni 0.2500 0.2500 0.2500 [4 per cell]  4 Ca 2.60, 4 Ir 2.60
Ir 0.0000 0.0000 0.5000 [4 per cell]  4 Ni 2.60